1.
## CaBiTeO6 (PBE)

Data for an optimized crystal structure of CaBiTeO6.

## Properties
- total magnetization (μB/f.u.) = 0.68
- density of states at the Fermi level (states/eV/atom) = 0.445
- ΔE_f (raw) (meV per atom) = -1487.4

abc: 5.595 5.595 9.928
angles: 90.00 90.00 120.00
Positions (direct):
Ca 0.000 0.000 0.000
Ca 0.000 0.000 0.500
Bi 0.333 0.667 0.250
Bi 0.667 0.333 0.750
Te 0.333 0.667 0.750
Te 0.667 0.333 0.250
O 0.040 0.383 0.637
O 0.040 0.658 0.863
O 0.342 0.383 0.863
O 0.342 0.960 0.637
O 0.383 0.040 0.137
O 0.383 0.342 0.363
O 0.617 0.658 0.637
O 0.617 0.960 0.863
O 0.658 0.040 0.363
O 0.658 0.617 0.137
O 0.960 0.342 0.137
O 0.960 0.617 0.363



2.
## Ac2NpNiSe5 (PBE)

Data for an optimized crystal structure of Ac2NpNiSe5.

## Properties
- total magnetization (μB/f.u.) = 3.01
- density of states at the Fermi level (states/eV/atom) = 1.206
- ΔE_f (raw) (meV per atom) = -1463.9

abc: 9.099 9.099 12.827
angles: 90.00 90.00 153.45
Positions (direct):
Ac 0.115 0.885 0.500
Ac 0.120 0.880 0.855
Ac 0.880 0.120 0.355
Ac 0.885 0.115 0.000
Np 0.178 0.822 0.179
Np 0.822 0.178 0.679
Ni 0.439 0.561 0.577
Ni 0.561 0.439 0.077
Se 0.023 0.977 0.161
Se 0.305 0.695 0.836
Se 0.309 0.691 0.523
Se 0.343 0.657 0.176
Se 0.498 0.502 0.909
Se 0.502 0.498 0.409
Se 0.657 0.343 0.676
Se 0.691 0.309 0.023
Se 0.695 0.305 0.336
Se 0.977 0.023 0.661



3.
## HfZnRh (PBE)

Data for an optimized crystal structure of HfZnRh.

## Properties
- calculated formation energy (meV per atom) = 327
- total magnetization (μB/f.u.) = 0.00
- density of states at the Fermi level (states/eV/atom) = 0.729

abc: 7.288 7.288 7.288
angles: 157.51 157.51 32.01
Positions (direct):
Hf 0.000 0.000 0.000
Zn 0.653 0.653 0.000
Rh 0.829 0.829 0.000